TlBi4Pb GGA-PBE optimized geometry; space group = F-43m (216); final energy = -3.465 eV per atom; DFT formation energy = 78 kJ/mol of formula units; relative energy among the computed polymorphs = 0.1224 eV/atom; V = 206.1 Å³/f.u.; total moment = 0.000 Bohr magnetons per cell
1.0
-1.8325 -5.7109 2.8250
0.8986 -5.7274 -3.2160
4.6015 -4.2899 2.0920
Pb Tl Bi
1 1 4
Direct
0.0000 0.0000 0.0000 Pb
0.2500 0.2500 0.2500 Tl
0.6251 0.6251 0.1248 Bi
0.6251 0.1248 0.6251 Bi
0.6251 0.6251 0.6251 Bi
0.1248 0.6251 0.6251 Bi

NiIrSe2 GGA-PBE optimized geometry; space group = R-3m (166); final energy = -5.344 eV per atom; V = 85.0 Å³/f.u.; E_form (uncorrected) = 0.059 eV per atom; total moment = 0.883 Bohr magnetons per cell
1.0
-1.6323 -3.7773 6.1551
-0.4507 -6.3656 3.7542
2.0159 -4.3285 5.6584
Ni Ir Se
1 1 2
Direct
0.0000 0.0000 0.0000 Ni
0.5000 0.5000 0.5000 Ir
0.8937 0.8937 0.8937 Se
0.1063 0.1063 0.1063 Se

CaBi2Au6 GGA-PBE optimized geometry; space group = Fm-3m (225); final energy = -3.172 eV per atom; DFT formation energy = 85 kJ/mol of formula units; relative energy among the computed polymorphs = 0.3928 eV/atom; V = 217.9 Å³/f.u.; total moment = 0.000 Bohr magnetons per cell
1.0
-1.0418 -4.2593 5.1372
-4.6352 -4.8819 -0.5477
1.9342 -6.4506 -0.5161
Ca Bi Au
1 2 6
Direct
0.0000 0.0000 0.0000 Ca
0.2500 0.2500 0.2500 Bi
0.7500 0.7500 0.7500 Bi
0.7110 0.7110 0.2890 Au
0.2890 0.7110 0.7110 Au
0.2890 0.7110 0.2890 Au
0.2890 0.2890 0.7110 Au
0.7110 0.2890 0.2890 Au
0.7110 0.2890 0.7110 Au

CaAlCr2Se6 GGA-PBE optimized geometry; space group = R3 (146); final energy = -5.334 eV per atom; V = 222.3 Å³/f.u.; E_form (uncorrected) = -0.744 eV per atom; total moment = 4.999 Bohr magnetons per cell
1.0
6.6267 0.0002 0.0004
3.3135 5.7377 0.0000
3.3133 1.9126 5.8472
Ca Al Cr Se
1 1 2 6
Direct
0.8091 0.8092 0.5724 Ca
0.3209 0.3208 0.0373 Al
0.5157 0.5156 0.4530 Cr
0.0074 0.0074 0.9779 Cr
0.6035 0.2547 0.2331 Se
0.2546 0.9087 0.2332 Se
0.9086 0.6036 0.2331 Se
0.3627 0.7304 0.7584 Se
0.7306 0.1485 0.7584 Se
0.1485 0.3627 0.7584 Se